Entry 1:
Compound: Th3ZnPt12
Source: Alexandria
Functional: PBE
Structure: optimized geometry

Formation enthalpy at 0 K in meV/atom: -920
Crystal system: tetragonal

```
16
Lattice="4.197 0.000 0.000 0.000 4.197 0.000 0.000 0.000 16.427" Properties=species:S:1:pos:R:3 pbc="T T T"
Th 0.000 0.000 0.000
Th 0.000 0.000 4.316
Th 0.000 0.000 12.111
Zn 0.000 0.000 8.213
Pt 0.000 2.099 2.128
Pt 0.000 2.099 6.381
Pt 0.000 2.099 10.046
Pt 0.000 2.099 14.299
Pt 2.099 0.000 2.128
Pt 2.099 0.000 6.381
Pt 2.099 0.000 10.046
Pt 2.099 0.000 14.299
Pt 2.099 2.099 0.000
Pt 2.099 2.099 4.237
Pt 2.099 2.099 8.213
Pt 2.099 2.099 12.190
```

=====

Entry 2:
Compound: BaAl2Si
Source: Alexandria
Functional: PBE
Structure: optimized geometry

ΔE_f (raw) in eV/atom: -0.162
Crystal system: monoclinic

```
4
Lattice="4.110 -2.071 0.000 4.110 2.071 0.000 -2.155 0.000 6.066" Properties=species:S:1:pos:R:3 pbc="T T T"
Ba 0.000 0.000 0.000
Al 3.061 0.000 3.089
Al 5.580 0.000 2.311
Si 0.517 0.000 3.775
```

=====

Entry 3:
Compound: SnBiTe
Source: Alexandria
Functional: PBE
Structure: optimized geometry

ΔE_f (raw) in eV/atom: 0.246
Crystal system: tetragonal

```
12
Lattice="6.593 0.000 0.000 0.000 6.593 0.000 0.000 0.000 10.460" Properties=species:S:1:pos:R:3 pbc="T T T"
Sn 0.157 0.157 0.000
Sn 3.140 3.453 2.615
Sn 3.453 3.140 7.845
Sn 6.436 6.436 5.230
Bi 1.253 5.340 7.845
Bi 2.044 2.044 5.230
Bi 4.550 4.550 0.000
Bi 5.340 1.253 2.615
Te 1.055 5.538 2.615
Te 2.242 2.242 0.000
Te 4.352 4.352 5.230
Te 5.538 1.055 7.845
```

=====

Entry 4:
Compound: SmFeGe3Os
Source: Alexandria
Functional: PBE
Structure: optimized geometry

Formation enthalpy at 0 K in meV/atom: -107
Crystal system: orthorhombic

```
12
Lattice="3.823 -5.480 0.000 3.823 5.480 0.000 0.000 0.000 5.661" Properties=species:S:1:pos:R:3 pbc="T T T"
Sm 3.823 2.765 4.246
Sm 3.823 -2.765 1.415
Fe 3.823 0.471 1.415
Fe 3.823 -0.471 4.246
Ge 3.823 2.646 1.415
Ge 2.000 0.000 0.000
Ge 2.000 0.000 2.830
Ge 5.646 0.000 0.000
Ge 5.646 0.000 2.830
Ge 3.823 -2.646 4.246
Os 3.823 4.975 1.415
Os 3.823 -4.975 4.246
```